(1)
Computed, not measured: a relaxed Re2Os5 crystal at the PBE level of DFT.

Its space-group type is R-3m. Its excess energy over the best structure of this formula in the dataset is 324 meV per atom. Its density of states at the Fermi level is 1.000 states/eV per atom. The calculation puts the total magnetization at 0.0 μB per formula unit. The total energy comes out at -11.1693 eV per atom. As for the energy relative to the elements: 0.409 eV per atom.

Lattice parameters (Å, degrees): 7.169 7.169 7.169 35.00 35.00 35.00
Atoms (fractional coordinates):
Os (0.900, 0.900, 0.900)
Os (0.500, 0.500, 0.500)
Os (0.631, 0.631, 0.631)
Os (0.369, 0.369, 0.369)
Os (0.100, 0.100, 0.100)
Re (0.234, 0.234, 0.234)
Re (0.766, 0.766, 0.766)

---

(2)
Computed, not measured: a relaxed AcTlBiAs crystal at the PBE level of DFT.

Its space-group type is F-43m. Its density of states at the Fermi level is 0.493 states/eV per atom. The calculation puts the total magnetization at 0.0 μB per formula unit. The total energy comes out at -4.1172 eV per atom. As for the energy relative to the elements: -0.366 eV per atom.

Lattice parameters (Å, degrees): 5.529 5.529 5.529 60.00 60.00 60.00
Atoms (fractional coordinates):
Tl (0.250, 0.250, 0.250)
Bi (0.500, 0.500, 0.500)
As (0.750, 0.750, 0.750)
Ac (0.000, 0.000, 0.000)

---

(3)
Computed, not measured: a relaxed PuZrGaTc crystal at the PBE level of DFT.

Its space-group type is F-43m. Its density of states at the Fermi level is 1.871 states/eV per atom. The calculation puts the total magnetization at 5.0 μB per formula unit. The total energy comes out at -9.2054 eV per atom. As for the energy relative to the elements: -0.137 eV per atom.

Lattice parameters (Å, degrees): 4.813 4.813 4.813 60.00 60.00 60.00
Atoms (fractional coordinates):
Zr (0.000, 0.000, 0.000)
Tc (0.750, 0.750, 0.750)
Pu (0.500, 0.500, 0.500)
Ga (0.250, 0.250, 0.250)

---

Q: Which of these has the highest energy relative to the elements?
A: Re2Os5

---

Q: Among the records above, which one has the highest density of states at the Fermi level?
A: PuZrGaTc

---

Q: Which value of total magnetization does entry 2 give?
A: 0.0 μB per formula unit